## Zr4AlRe (GGA-PBE)

Data for Zr4AlRe after structural relaxation.

Lattice parameters (Å, degrees): 5.5767 5.5767 5.5767 60.00 60.00 60.00
Last column: nearest neighbours and their distance in Å.
Fractional positions:
Zr 0.3766 0.3766 0.3766  6 Zr 2.75-2.82
Zr 0.3766 0.3766 0.8703  6 Zr 2.75-2.82
Zr 0.3766 0.8703 0.3766  6 Zr 2.75-2.82
Zr 0.8703 0.3766 0.3766  6 Zr 2.75-2.82
Al 0.0000 0.0000 0.0000  12 Zr 3.27, 4 Re 3.42
Re 0.7500 0.7500 0.7500  12 Zr 3.27, 4 Al 3.42

Computed properties:
Spin magnetization   0.000 μB per atom
Energy relative to the lowest polymorph listed for this composition   424.6 meV/atom
Space group   No. 216
DOS(E_F)   7.0 states/eV per cell